No. 1
VASP calculation (PBE) on crystalline CaHo2Sc at its relaxed geometry.

Structure (POSCAR):
```
CaHo2Sc
1.0
5.0110 0.0000 0.0000
0.0000 5.0110 0.0000
0.0000 0.0000 4.9243
Ca Ho Sc
1 2 1
Cartesian
0.0000 0.0000 0.0000
0.0000 2.5055 2.4622
2.5055 0.0000 2.4622
2.5055 2.5055 0.0000
```

VASP energy   -16.8 eV per cell
Energy of formation   0.18 eV/atom

***

No. 2
VASP calculation (PBE) on crystalline CaHoSc2 at its relaxed geometry.

Structure (POSCAR):
```
CaHoSc2
1.0
1.7247 0.9957 11.4394
-1.7247 0.9957 11.4394
0.0000 -1.9915 11.4394
Ca Ho Sc
1 1 2
Cartesian
0.0000 0.0000 0.0000
0.0000 0.0000 17.1590
0.0000 0.0000 8.4082
0.0000 0.0000 25.9098
```

VASP energy   -18.6 eV per cell
Energy of formation   0.15 eV/atom

***

No. 3
VASP calculation (PBE) on crystalline Ca3Ho2ScSe6 at its relaxed geometry.

Structure (POSCAR):
```
Ca3Ho2ScSe6
1.0
3.5228 -6.0951 0.0000
3.5228 6.0951 0.0000
-2.3522 0.0000 6.7705
Ca Ho Sc Se
3 2 1 6
Cartesian
0.0000 0.0000 0.0000
3.5228 2.0565 0.0000
3.5228 -2.0565 0.0000
2.3467 4.0670 3.3852
2.3467 -4.0670 3.3852
2.3467 0.0000 3.3852
1.1975 1.9912 1.7628
0.0443 0.0000 5.0175
1.1975 -1.9912 1.7628
3.4959 1.9912 5.0077
4.6490 0.0000 1.7530
3.4959 -1.9912 5.0077
```

VASP energy   -64.4 eV per cell
E_form (uncorrected)   -1.833 eV per atom

***

No. 4
VASP calculation (PBE) on crystalline CaHoSc4Se8 at its relaxed geometry.

Structure (POSCAR):
```
CaHoSc4Se8
1.0
4.0484 2.3374 6.7477
-4.0484 2.3374 6.7477
0.0000 -4.6747 6.7477
Ca Ho Sc Se
1 1 4 8
Cartesian
0.0000 0.0000 0.0000
0.0000 0.0000 12.7598
-2.0493 -1.1831 9.3373
0.0000 0.0000 5.1689
2.0493 -1.1831 9.3373
0.0000 2.3663 9.3373
0.0000 -2.2469 10.9391
-1.9459 1.1235 10.9391
0.0000 0.0000 7.8214
-1.8602 -1.0740 14.5782
1.9459 1.1235 10.9391
0.0000 0.0000 17.4904
1.8602 -1.0740 14.5782
0.0000 2.1480 14.5782
```

VASP energy   -83.2 eV per cell
E_form (uncorrected)   -1.674 eV per atom

***

| no. | V (A^3/atom) |
| --- | --- |
| 1 | 30.91 |
| 2 | 29.47 |
| 3 | 24.23 |
| 4 | 27.36 |